No. 1
Below is crystalline La2MnH12Rh3 at its relaxed geometry, with properties calculated at the PBE level.

Cell and atoms, written as POSCAR:
```
La2MnH12Rh3
1.0
-5.708 -0.202 1.941
-0.952 -2.315 5.488
-1.549 3.855 4.373
La Mn H Rh
2 1 12 3
direct
0.623 0.623 0.623
0.377 0.377 0.377
0.000 0.000 0.000
0.329 0.329 0.880
0.896 0.896 0.353
0.353 0.896 0.896
0.880 0.329 0.329
0.896 0.353 0.896
0.329 0.880 0.329
0.671 0.671 0.120
0.104 0.104 0.647
0.647 0.104 0.104
0.120 0.671 0.671
0.104 0.647 0.104
0.671 0.120 0.671
0.500 0.000 0.000
0.000 0.500 0.000
0.000 0.000 0.500
```

Values from the calculation:
Calculated density   6.56 g cm⁻³
VASP energy   -4.8185 eV per atom
Volume   9.19 Å³/atom



No. 2
Below is crystalline LaMnH6Ru at its relaxed geometry, with properties calculated at the PBE level.

Cell and atoms, written as POSCAR:
```
LaMnH6Ru
1.0
4.699 0.000 0.000
2.349 4.069 0.000
0.000 0.000 4.494
La Mn H Ru
1 1 6 1
direct
0.000 0.000 0.000
0.667 0.667 0.500
0.020 0.490 0.237
0.490 0.020 0.763
0.490 0.490 0.763
0.020 0.490 0.763
0.490 0.490 0.237
0.490 0.020 0.237
0.333 0.333 0.500
```

Values from the calculation:
Calculated density   5.82 g cm⁻³
VASP energy   -5.1336 eV per atom
Volume   9.55 Å³/atom



No. 3
Below is crystalline LaScMn2H at its relaxed geometry, with properties calculated at the PBE level.

Cell and atoms, written as POSCAR:
```
LaScMn2H
1.0
-4.589 -0.265 -0.984
0.861 -0.719 -3.821
0.077 -4.616 0.886
Sc H Mn La
1 1 2 1
direct
0.000 0.500 0.000
0.000 0.000 0.000
0.000 0.000 0.500
0.500 0.000 0.000
0.500 0.500 0.500
```

Values from the calculation:
Calculated density   5.56 g cm⁻³
VASP energy   -6.3378 eV per atom
Volume   17.60 Å³/atom



No. 4
Below is crystalline LaMnHSe2 at its relaxed geometry, with properties calculated at the PBE level.

Cell and atoms, written as POSCAR:
```
LaMnHSe2
1.0
5.075 0.000 0.000
0.000 5.075 0.000
0.000 0.000 3.762
H Mn Se La
1 1 2 1
direct
0.000 0.000 0.500
0.000 0.000 0.000
0.000 0.500 0.000
0.500 0.000 0.000
0.500 0.500 0.500
```

Values from the calculation:
Calculated density   6.05 g cm⁻³
VASP energy   -5.8293 eV per atom
Volume   19.38 Å³/atom



No. 5
Below is crystalline LaMnZnH6 at its relaxed geometry, with properties calculated at the PBE level.

Cell and atoms, written as POSCAR:
```
LaMnZnH6
1.0
-0.016 4.294 -1.425
1.088 0.966 -4.283
-4.333 -0.413 -1.194
La Mn Zn H
1 1 1 6
direct
0.000 0.000 0.000
0.333 0.333 0.500
0.667 0.667 0.500
0.034 0.483 0.241
0.483 0.034 0.759
0.483 0.483 0.759
0.034 0.483 0.759
0.483 0.483 0.241
0.483 0.034 0.241
```

Values from the calculation:
Calculated density   5.51 g cm⁻³
VASP energy   -4.2001 eV per atom
Volume   8.89 Å³/atom



No. 6
Below is crystalline La12Mo3H5 at its relaxed geometry, with properties calculated at the PBE level.

Cell and atoms, written as POSCAR:
```
La12Mo3H5
1.0
13.844 0.000 0.000
-4.615 13.052 0.000
-4.615 -6.526 11.303
Mo H La
12 20 48
direct
0.750 0.375 0.125
0.875 0.750 0.125
0.375 0.750 0.625
0.250 0.125 0.375
0.875 0.125 0.250
0.375 0.625 0.250
0.625 0.375 0.750
0.125 0.875 0.750
0.750 0.875 0.625
0.625 0.250 0.375
0.125 0.250 0.875
0.250 0.625 0.875
0.125 0.375 0.250
0.000 0.500 0.000
0.000 0.000 0.000
0.375 0.250 0.125
0.500 0.000 0.500
0.500 0.500 0.000
0.125 0.750 0.375
0.750 0.125 0.875
0.750 0.625 0.375
0.375 0.125 0.750
0.625 0.875 0.250
0.500 0.500 0.500
0.500 0.000 0.000
0.000 0.000 0.500
0.250 0.375 0.625
0.250 0.875 0.125
0.000 0.500 0.500
0.875 0.250 0.625
0.625 0.750 0.875
0.875 0.625 0.750
0.717 0.124 0.032
0.314 0.532 0.408
0.968 0.376 0.283
0.532 0.217 0.124
0.594 0.717 0.686
0.968 0.592 0.186
0.314 0.783 0.406
0.092 0.906 0.124
0.592 0.968 0.686
0.717 0.594 0.186
0.783 0.468 0.376
0.814 0.908 0.032
0.124 0.717 0.532
0.376 0.408 0.094
0.094 0.908 0.376
0.406 0.124 0.592
0.094 0.186 0.217
0.468 0.686 0.092
0.814 0.906 0.283
0.124 0.406 0.092
0.376 0.968 0.783
0.592 0.624 0.406
0.908 0.814 0.532
0.783 0.314 0.906
0.408 0.376 0.594
0.092 0.186 0.468
0.217 0.686 0.094
0.186 0.094 0.717
0.624 0.032 0.217
0.876 0.594 0.908
0.532 0.314 0.908
0.594 0.876 0.408
0.906 0.814 0.783
0.906 0.092 0.624
0.876 0.283 0.468
0.186 0.092 0.968
0.624 0.592 0.906
0.408 0.032 0.314
0.283 0.406 0.814
0.217 0.532 0.624
0.908 0.094 0.876
0.686 0.217 0.594
0.468 0.783 0.876
0.032 0.408 0.814
0.406 0.283 0.314
0.032 0.624 0.717
0.686 0.468 0.592
0.283 0.876 0.968
```

Values from the calculation:
Calculated density   6.37 g cm⁻³
VASP energy   -5.4082 eV per atom
Volume   25.53 Å³/atom



No. 7
Below is crystalline LaMo3H at its relaxed geometry, with properties calculated at the PBE level.

Cell and atoms, written as POSCAR:
```
LaMo3H
1.0
4.792 0.000 0.000
0.000 4.792 0.000
0.000 0.000 4.792
H Mo La
1 3 1
direct
0.500 0.500 0.500
0.000 0.500 0.000
0.000 0.000 0.500
0.500 0.000 0.000
0.000 0.000 0.000
```

Values from the calculation:
Calculated density   6.45 g cm⁻³
Relative energy among the computed polymorphs   209.7 kJ/mol of atoms
Volume   22.01 Å³/atom



No. 8
Below is crystalline La3MoH at its relaxed geometry, with properties calculated at the PBE level.

Cell and atoms, written as POSCAR:
```
La3MoH
1.0
4.920 0.000 0.000
0.000 4.920 0.000
0.000 0.000 4.920
H Mo La
1 1 3
direct
0.000 0.000 0.000
0.500 0.500 0.500
0.000 0.500 0.000
0.000 0.000 0.500
0.500 0.000 0.000
```

Values from the calculation:
Calculated density   7.16 g cm⁻³
Relative energy among the computed polymorphs   0.0 kJ/mol of atoms
Volume   23.81 Å³/atom



No. 9
Below is crystalline LaMo2H at its relaxed geometry, with properties calculated at the PBE level.

Cell and atoms, written as POSCAR:
```
LaMo2H
1.0
-2.490 4.469 -2.788
0.567 -2.838 -5.057
-4.667 -0.906 -3.372
H Mo La
2 4 2
direct
0.500 0.500 0.000
0.250 0.750 0.500
0.375 0.125 0.250
0.375 0.625 0.250
0.375 0.625 0.750
0.875 0.625 0.750
0.000 0.000 0.000
0.750 0.250 0.500
```

Values from the calculation:
Calculated density   7.87 g cm⁻³
Relative energy among the computed polymorphs   0.0 kJ/mol of atoms
Volume   17.49 Å³/atom



No. 10
Below is crystalline LaMoH6 at its relaxed geometry, with properties calculated at the PBE level.

Cell and atoms, written as POSCAR:
```
LaMoH6
1.0
4.347 0.000 1.555
1.895 3.912 1.555
0.591 0.370 5.202
La Mo H
1 1 6
direct
0.500 0.500 0.500
0.000 0.000 0.000
0.085 0.085 0.263
0.085 0.566 0.263
0.434 0.915 0.737
0.915 0.434 0.737
0.915 0.915 0.737
0.566 0.085 0.263
```

Values from the calculation:
Calculated density   4.79 g cm⁻³
VASP energy   -4.5002 eV per atom
Volume   10.43 Å³/atom



No. 11
Below is crystalline La2MoH at its relaxed geometry, with properties calculated at the PBE level.

Cell and atoms, written as POSCAR:
```
La2MoH
1.0
5.457 0.000 0.000
0.000 5.457 0.000
2.728 2.728 6.536
H Mo La
2 2 4
direct
0.500 0.500 0.000
0.250 0.750 0.500
0.000 0.000 0.000
0.750 0.250 0.500
0.610 0.125 0.250
0.140 0.625 0.250
0.375 0.390 0.750
0.875 0.860 0.750
```

Values from the calculation:
Calculated density   6.40 g cm⁻³
Relative energy among the computed polymorphs   0.0 kJ/mol of atoms
Volume   24.33 Å³/atom



No. 12
Below is crystalline La2MoH at its relaxed geometry, with properties calculated at the PBE level.

Cell and atoms, written as POSCAR:
```
La2MoH
1.0
3.053 2.030 3.318
-0.601 4.719 1.351
-1.645 1.083 4.536
H Mo La
1 1 2
direct
0.000 0.000 0.000
0.500 0.500 0.500
0.250 0.250 0.250
0.750 0.750 0.750
```

Values from the calculation:
Calculated density   7.28 g cm⁻³
Relative energy among the computed polymorphs   2.7 kJ/mol of atoms
Volume   21.38 Å³/atom



No. 13
Below is crystalline LaMoH3 at its relaxed geometry, with properties calculated at the PBE level.

Cell and atoms, written as POSCAR:
```
LaMoH3
1.0
-1.573 2.420 2.515
-1.115 -2.963 2.153
3.307 0.152 1.923
H Mo La
3 1 1
direct
0.000 0.500 0.000
0.000 0.000 0.500
0.500 0.000 0.000
0.000 0.000 0.000
0.500 0.500 0.500
```

Values from the calculation:
Calculated density   7.04 g cm⁻³
Relative energy among the computed polymorphs   0.0 kJ/mol of atoms
Volume   11.22 Å³/atom



No. 14
Below is crystalline LaMo2H at its relaxed geometry, with properties calculated at the PBE level.

Cell and atoms, written as POSCAR:
```
LaMo2H
1.0
-4.278 -1.060 0.720
-2.933 3.182 1.104
-3.135 1.258 -2.922
H Mo La
1 2 1
direct
0.000 0.000 0.000
0.250 0.250 0.250
0.750 0.750 0.750
0.500 0.500 0.500
```

Values from the calculation:
Calculated density   8.75 g cm⁻³
Relative energy among the computed polymorphs   115.3 kJ/mol of atoms
Volume   15.75 Å³/atom



No. 15
Below is crystalline LaMo3H at its relaxed geometry, with properties calculated at the PBE level.

Cell and atoms, written as POSCAR:
```
LaMo3H
1.0
4.307 0.000 0.000
0.000 4.307 0.000
0.000 0.000 4.307
H Mo La
1 3 1
direct
0.000 0.000 0.000
0.000 0.500 0.000
0.000 0.000 0.500
0.500 0.000 0.000
0.500 0.500 0.500
```

Values from the calculation:
Calculated density   8.89 g cm⁻³
Relative energy among the computed polymorphs   0.0 kJ/mol of atoms
Volume   15.98 Å³/atom



No. 16
Below is crystalline LaMoH3 at its relaxed geometry, with properties calculated at the PBE level.

Cell and atoms, written as POSCAR:
```
LaMoH3
1.0
4.143 0.000 0.000
0.000 4.143 0.000
0.000 0.000 4.143
H Mo La
3 1 1
direct
0.000 0.500 0.000
0.000 0.000 0.500
0.500 0.000 0.000
0.500 0.500 0.500
0.000 0.000 0.000
```

Values from the calculation:
Calculated density   5.55 g cm⁻³
Relative energy among the computed polymorphs   119.7 kJ/mol of atoms
Volume   14.23 Å³/atom



No. 17
Below is crystalline LaMoH2N at its relaxed geometry, with properties calculated at the PBE level.

Cell and atoms, written as POSCAR:
```
LaMoH2N
1.0
3.777 0.000 0.000
0.000 3.777 0.000
0.000 0.000 4.108
H Mo N La
2 1 1 1
direct
0.000 0.500 0.000
0.500 0.000 0.000
0.000 0.000 0.000
0.000 0.000 0.500
0.500 0.500 0.500
```

Values from the calculation:
Calculated density   7.11 g cm⁻³
VASP energy   -6.7705 eV per atom
Volume   11.72 Å³/atom



No. 18
Below is crystalline La2ReMoH at its relaxed geometry, with properties calculated at the PBE level.

Cell and atoms, written as POSCAR:
```
La2ReMoH
1.0
-4.253 -1.786 -2.430
1.828 -2.997 -0.997
-1.508 -2.379 4.388
Re Mo H La
1 1 1 2
direct
0.000 0.500 0.000
0.500 0.500 0.500
0.000 0.000 0.000
0.000 0.000 0.500
0.500 0.000 0.000
```

Values from the calculation:
Calculated density   9.39 g cm⁻³
VASP energy   -6.8366 eV per atom
Volume   19.84 Å³/atom



No. 19
Below is crystalline LaSiMo2H at its relaxed geometry, with properties calculated at the PBE level.

Cell and atoms, written as POSCAR:
```
LaSiMo2H
1.0
-1.095 2.816 2.866
-3.374 1.503 -2.767
-2.622 -2.752 1.702
H Mo Si La
1 2 1 1
direct
0.000 0.000 0.000
0.000 0.000 0.500
0.500 0.000 0.000
0.500 0.500 0.500
0.000 0.500 0.000
```

Values from the calculation:
Calculated density   7.47 g cm⁻³
VASP energy   -6.7565 eV per atom
Volume   16.01 Å³/atom



No. 20
Below is crystalline LaSnMoH2 at its relaxed geometry, with properties calculated at the PBE level.

Cell and atoms, written as POSCAR:
```
LaSnMoH2
1.0
3.972 0.000 0.000
0.000 6.795 0.000
0.000 0.000 3.972
H Mo Sn La
2 1 1 1
direct
0.000 0.000 0.500
0.500 0.000 0.000
0.500 0.500 0.500
0.000 0.000 0.000
0.000 0.500 0.000
```

Values from the calculation:
Calculated density   5.51 g cm⁻³
VASP energy   -4.2411 eV per atom
Volume   21.44 Å³/atom